# 1
Below is a PBEsol-optimized structure of ScTa2Sb, with properties calculated at the SCAN level.

Results
- total moment (μB per atom) = 0.0000
- uncorrected formation energy (meV/atom) = -82
- space group = I4/mmm

Lattice parameters (Å, degrees): 4.029 4.029 5.494 111.51 111.51 90.00
Fractional positions:
Sb  0.500  0.500  0.000
Sc  0.000  0.000  0.000
Ta  0.750  0.250  0.500
Ta  0.250  0.750  0.500

# 2
Below is a PBEsol-optimized structure of LaMg16Al12, with properties calculated at the SCAN level.

Results
- total moment (μB per atom) = 0.0000
- calculated formation energy (eV per atom) = -0.0751
- space group = I-43m

Lattice parameters (Å, degrees): 9.112 9.112 9.112 109.47 109.47 109.47
Fractional positions:
La  0.000  0.000  0.000
Mg  0.282  0.602  0.602
Mg  0.364  0.364  0.364
Mg  0.718  0.320  0.320
Mg  0.636  0.000  0.000
Mg  0.000  0.398  0.680
Mg  0.398  0.680  0.000
Mg  0.602  0.282  0.602
Mg  0.000  0.636  0.000
Mg  0.320  0.320  0.718
Mg  0.680  0.000  0.398
Mg  0.320  0.718  0.320
Mg  0.680  0.398  0.000
Mg  0.000  0.000  0.636
Mg  0.602  0.602  0.282
Mg  0.398  0.000  0.680
Mg  0.000  0.680  0.398
Al  0.183  0.812  0.812
Al  0.817  0.630  0.630
Al  0.000  0.188  0.370
Al  0.370  0.000  0.188
Al  0.630  0.630  0.817
Al  0.188  0.000  0.370
Al  0.812  0.812  0.183
Al  0.812  0.183  0.812
Al  0.188  0.370  0.000
Al  0.630  0.817  0.630
Al  0.370  0.188  0.000
Al  0.000  0.370  0.188

# 3
Below is a PBEsol-optimized structure of TlAuBr2, with properties calculated at the SCAN level.

Results
- total moment (μB per atom) = 0.0000
- uncorrected formation energy (meV/atom) = -315
- space group = Immm

Lattice parameters (Å, degrees): 4.051 5.695 5.695 64.66 69.16 69.16
Fractional positions:
Tl  0.500  0.000  0.000
Au  0.000  0.500  0.500
Br  0.299  0.701  0.701
Br  0.701  0.299  0.299

# 4
Below is a PBEsol-optimized structure of Co3TcSb, with properties calculated at the SCAN level.

Results
- total moment (μB per atom) = 1.5280
- uncorrected formation energy (meV/atom) = 1592
- space group = Pm-3m

Lattice parameters (Å, degrees): 4.481 4.481 4.481 90.00 90.00 90.00
Each line ends with the local moment (μB).
Fractional positions:
Sb  0.000  0.000  0.000  -0.02
Co  0.000  0.500  0.000  1.44
Co  0.000  0.000  0.500  1.44
Co  0.500  0.000  0.000  1.44
Tc  0.500  0.500  0.500  3.44

# 5
Below is a PBEsol-optimized structure of CrReNi2, with properties calculated at the SCAN level.

Results
- total moment (μB per atom) = 0.0000
- calculated formation energy (eV per atom) = 0.0595
- space group = Cm

Lattice parameters (Å, degrees): 2.509 4.356 4.512 97.72 90.00 106.73
Fractional positions:
Re  0.497  0.994  0.494
Ni  0.998  0.996  0.000
Ni  0.749  0.497  0.239
Cr  0.256  0.512  0.766

# 6
Below is a PBEsol-optimized structure of SrNi3Os, with properties calculated at the SCAN level.

Results
- total moment (μB per atom) = 0.0000
- calculated formation energy (eV per atom) = 0.6231
- space group = Pm-3m

Lattice parameters (Å, degrees): 4.557 4.557 4.557 90.00 90.00 90.00
Fractional positions:
Sr  0.500  0.500  0.500
Os  0.000  0.000  0.000
Ni  0.000  0.500  0.000
Ni  0.000  0.000  0.500
Ni  0.500  0.000  0.000

# 7
Below is a PBEsol-optimized structure of SbPbC2Br, with properties calculated at the SCAN level.

Results
- total moment (μB per atom) = 0.4857
- uncorrected formation energy (meV/atom) = 2636
- space group = P4/mmm

Lattice parameters (Å, degrees): 4.445 4.445 5.332 90.00 90.00 90.00
Each line ends with the local moment (μB).
Fractional positions:
Pb  0.500  0.500  0.500  -0.06
Sb  0.000  0.000  0.500  0.02
C  0.000  0.500  0.000  0.64
C  0.500  0.000  0.000  0.64
Br  0.000  0.000  0.000  -0.01

# 8
Below is a PBEsol-optimized structure of SrMgIr2, with properties calculated at the SCAN level.

Results
- total moment (μB per atom) = 0.3101
- calculated formation energy (eV per atom) = 0.2916
- space group = F-43m

Lattice parameters (Å, degrees): 4.704 4.704 4.704 60.00 60.00 60.00
Each line ends with the local moment (μB).
Fractional positions:
Ir  0.000  0.000  0.000  0.77
Ir  0.750  0.750  0.750  0.51
Mg  0.500  0.500  0.500  0.00
Sr  0.250  0.250  0.250  -0.01